(1)
This record from Alexandria via LeMat-Bulk describes a geometry-optimized Ac4PrNd8 structure. The functional is PBE.

abc: 8.228 8.228 8.228
angles: 91.27 91.27 91.27
Sites, in units of the cell vectors:
Ac 0.000 0.000 0.000
Ac 0.000 0.500 0.500
Ac 0.500 0.000 0.500
Ac 0.500 0.500 0.000
Pr 0.500 0.500 0.500
Nd 0.236 0.236 0.749
Nd 0.236 0.749 0.236
Nd 0.241 0.241 0.241
Nd 0.251 0.764 0.764
Nd 0.749 0.236 0.236
Nd 0.759 0.759 0.759
Nd 0.764 0.251 0.764
Nd 0.764 0.764 0.251

Values from the calculation:
Raw total energy   -4.058 eV/atom
Symmetry   No. 166

(2)
This record from Alexandria via LeMat-Bulk describes a geometry-optimized Ac10PrNd4 structure. The functional is PBE.

abc: 10.199 10.199 10.199
angles: 99.54 99.54 131.96
Sites, in units of the cell vectors:
Ac 0.050 0.150 0.700
Ac 0.150 0.451 0.100
Ac 0.250 0.750 0.500
Ac 0.350 0.050 0.900
Ac 0.451 0.350 0.300
Ac 0.549 0.650 0.700
Ac 0.650 0.950 0.100
Ac 0.750 0.250 0.500
Ac 0.850 0.549 0.900
Ac 0.950 0.850 0.300
Pr 0.000 0.000 0.000
Nd 0.200 0.600 0.800
Nd 0.400 0.200 0.600
Nd 0.600 0.800 0.400
Nd 0.800 0.400 0.200

Values from the calculation:
Raw total energy   -3.746 eV/atom
Symmetry   No. 87

(3)
This record from Alexandria via LeMat-Bulk describes a geometry-optimized Ac3Pr2Nd8 structure. The functional is PBE.

abc: 11.393 11.393 5.868
angles: 90.15 90.15 41.90
Sites, in units of the cell vectors:
Ac 0.000 0.000 0.000
Ac 0.287 0.713 0.500
Ac 0.713 0.287 0.500
Pr 0.240 0.240 0.995
Pr 0.760 0.760 0.005
Nd 0.135 0.135 0.498
Nd 0.186 0.590 0.999
Nd 0.324 0.324 0.497
Nd 0.410 0.814 0.001
Nd 0.590 0.186 0.999
Nd 0.676 0.676 0.503
Nd 0.814 0.410 0.001
Nd 0.865 0.865 0.502

Values from the calculation:
Raw total energy   -4.368 eV/atom
E above lowest polymorph   1.14 eV/f.u.
Symmetry   No. 12

(4)
This record from Alexandria via LeMat-Bulk describes a geometry-optimized Ac2Pr6Nd3 structure. The functional is PBE.

abc: 17.343 17.343 17.343
angles: 163.47 163.47 23.46
Sites, in units of the cell vectors:
Ac 0.067 0.067 0.000
Ac 0.933 0.933 0.000
Pr 0.168 0.668 0.500
Pr 0.250 0.250 0.000
Pr 0.332 0.832 0.500
Pr 0.668 0.168 0.500
Pr 0.750 0.750 0.000
Pr 0.832 0.332 0.500
Nd 0.406 0.406 0.000
Nd 0.500 0.500 0.000
Nd 0.594 0.594 0.000

Values from the calculation:
Raw total energy   -4.507 eV/atom
E above lowest polymorph   1.38 eV/f.u.
Symmetry   No. 139

(5)
This record from Alexandria via LeMat-Bulk describes a geometry-optimized Ac4PrNd3S8 structure. The functional is PBE.

abc: 8.389 8.389 8.389
angles: 59.92 59.92 59.92
Sites, in units of the cell vectors:
Ac 0.000 0.000 0.000
Ac 0.000 0.500 0.500
Ac 0.500 0.000 0.500
Ac 0.500 0.500 0.000
Pr 0.500 0.500 0.500
Nd 0.000 0.000 0.500
Nd 0.000 0.500 0.000
Nd 0.500 0.000 0.000
S 0.244 0.746 0.746
S 0.245 0.245 0.245
S 0.254 0.254 0.756
S 0.254 0.756 0.254
S 0.746 0.244 0.746
S 0.746 0.746 0.244
S 0.755 0.755 0.755
S 0.756 0.254 0.254

Values from the calculation:
Raw total energy   -6.293 eV/atom
ΔE_f (raw)   -2.0091 eV/atom
Symmetry   No. 166

(6)
This record from Alexandria via LeMat-Bulk describes a geometry-optimized AcPr3Nd4S8 structure. The functional is PBE.

abc: 8.235 8.235 8.235
angles: 59.93 59.93 59.93
Sites, in units of the cell vectors:
Ac 0.000 0.000 0.000
Pr 0.000 0.500 0.500
Pr 0.500 0.000 0.500
Pr 0.500 0.500 0.000
Nd 0.000 0.000 0.500
Nd 0.000 0.500 0.000
Nd 0.500 0.000 0.000
Nd 0.500 0.500 0.500
S 0.249 0.249 0.249
S 0.252 0.745 0.745
S 0.255 0.255 0.747
S 0.255 0.748 0.255
S 0.745 0.253 0.745
S 0.745 0.745 0.253
S 0.747 0.255 0.255
S 0.751 0.751 0.751

Values from the calculation:
Raw total energy   -6.421 eV/atom
ΔE_f (raw)   -2.0126 eV/atom
Symmetry   No. 166